DFT (GGA-PBE) results for a relaxed structure of TiTl2Ir2.

Summary:
Spin magnetization in μB per formula unit: 1.95
Polymorph energy (0 for the lowest one) in meV/atom: 185.0

```
TiTl2Ir2
1.0
3.6052 0.0000 0.0000
0.0000 3.6052 0.0000
1.8026 1.8026 8.3158
Tl Ir Ti
2 2 1
direct
0.3900 0.3900 0.2200 Tl
0.6100 0.6100 0.7800 Tl
0.7500 0.2500 0.5000 Ir
0.2500 0.7500 0.5000 Ir
0.0000 0.0000 0.0000 Ti
```